First-principles (PBE) data for an optimized crystal structure of CsNbZn2F8, as listed in the Alexandria database.

Properties
crystal system = trigonal
spin magnetization = 2.00 μB/f.u.
formation energy without anion corrections = -2.439 eV/atom
mass density = 3819 kg/m³
electronic total energy = -4.81 eV per atom

Geometry as CIF:
```
data_CsNbZn2F8
_cell_length_a 5.4558
_cell_length_b 5.4558
_cell_length_c 9.1390
_cell_angle_alpha 72.63
_cell_angle_beta 72.63
_cell_angle_gamma 60.00
_symmetry_space_group_name_H-M 'P 1'
_symmetry_Int_Tables_number 1
_symmetry_space_group_name_Hall 'P 1'
loop_
_atom_site_label
_atom_site_type_symbol
_atom_site_fract_x
_atom_site_fract_y
_atom_site_fract_z
Cs1 Cs 0.5000 0.5000 0.5000
Nb1 Nb 0.0000 0.0000 0.0000
Zn1 Zn 0.2562 0.2562 0.2315
Zn2 Zn 0.7438 0.7438 0.7685
F1 F 0.1839 0.1839 0.4482
F2 F 0.6335 0.2526 0.1480
F3 F 0.8161 0.8161 0.5518
F4 F 0.9660 0.6335 0.1480
F5 F 0.0340 0.3665 0.8520
F6 F 0.2526 0.9660 0.1480
F7 F 0.7474 0.0340 0.8520
F8 F 0.3665 0.7474 0.8520
```